1.
# Ca2PmHg9 | Alexandria | PBE-GGA | optimized geometry
# Uncorrected energy   -1.324 eV per atom
# D(E_F)   0.5663 states/eV/atom
# Calculated formation energy   -35.5 kJ per mole of atoms
# V   25.71 A^3/atom
data_Ca2PmHg9
_chemical_formula_sum 'Ca2 Pm1 Hg9'
_cell_length_a 4.6827
_cell_length_b 4.6827
_cell_length_c 14.0702
_cell_angle_alpha 90.00
_cell_angle_beta 90.00
_cell_angle_gamma 90.00
_symmetry_space_group_name_H-M 'P 4/m m m'
_symmetry_Int_Tables_number 123
_symmetry_space_group_name_Hall '-P 4 2'
loop_
_atom_site_label
_atom_site_type_symbol
_atom_site_fract_x
_atom_site_fract_y
_atom_site_fract_z
Ca1 Ca 0.0000 0.0000 0.1645
Pm1 Pm 0.0000 0.0000 0.5000
Hg1 Hg 0.0000 0.5000 0.0000
Hg2 Hg 0.0000 0.5000 0.3340
Hg3 Hg 0.5000 0.5000 0.1652
Hg4 Hg 0.5000 0.5000 0.5000


2.
# Pr4Dy3ScTe8 | Alexandria | PBE-GGA | optimized geometry
# Uncorrected energy   -5.358 eV per atom
# Formation energy without anion corrections   -1.334 eV per atom
# D(E_F)   0.6976 states/eV/atom
# V   30.59 A^3/atom
data_Pr4Dy3ScTe8
_chemical_formula_sum 'Pr12 Dy9 Sc3 Te24'
_cell_length_a 8.7324
_cell_length_b 8.7324
_cell_length_c 22.2357
_cell_angle_alpha 90.00
_cell_angle_beta 90.00
_cell_angle_gamma 120.00
_symmetry_space_group_name_H-M 'R -3 m'
_symmetry_Int_Tables_number 166
_symmetry_space_group_name_Hall '-R 3 2"'
loop_
_atom_site_label
_atom_site_type_symbol
_atom_site_fract_x
_atom_site_fract_y
_atom_site_fract_z
Pr1 Pr 0.0000 0.0000 0.0000
Pr2 Pr 0.0000 0.5000 0.0000
Dy1 Dy 0.0000 0.5000 0.5000
Sc1 Sc 0.0000 0.0000 0.5000
Te1 Te 0.0000 0.0000 0.2450
Te2 Te 0.0068 0.5034 0.2434


3.
# Dy2Al5Co3 | Alexandria | PBE-GGA | optimized geometry
# Uncorrected energy   -5.367 eV per atom
# D(E_F)   0.6949 states/eV/atom
# Calculated formation energy   -42.8 kJ per mole of atoms
# V   16.53 A^3/atom
data_Dy2Al5Co3
_chemical_formula_sum 'Dy8 Al20 Co12'
_cell_length_a 4.0688
_cell_length_b 24.3636
_cell_length_c 6.6717
_cell_angle_alpha 90.00
_cell_angle_beta 90.00
_cell_angle_gamma 90.00
_symmetry_space_group_name_H-M 'C m c 21'
_symmetry_Int_Tables_number 36
_symmetry_space_group_name_Hall 'C 2c -2'
loop_
_atom_site_label
_atom_site_type_symbol
_atom_site_fract_x
_atom_site_fract_y
_atom_site_fract_z
Dy1 Dy 0.0000 0.0270 0.0000
Dy2 Dy 0.0000 0.3246 0.0847
Al1 Al 0.0000 0.0963 0.3857
Al2 Al 0.0000 0.2078 0.8991
Al3 Al 0.0000 0.2131 0.2876
Al4 Al 0.0000 0.3684 0.5564
Al5 Al 0.0000 0.4448 0.1670
Co1 Co 0.0000 0.1111 0.7560
Co2 Co 0.0000 0.2683 0.5952
Co3 Co 0.0000 0.4536 0.7902


4.
# KIn2P | Alexandria | PBE-GGA | optimized geometry
# Uncorrected energy   -3.090 eV per atom
# D(E_F)   0.2770 states/eV/atom
# Calculated formation energy   -9.1 kJ per mole of atoms
# V   30.32 A^3/atom
data_KIn2P
_chemical_formula_sum 'K2 In4 P2'
_cell_length_a 12.2171
_cell_length_b 3.7698
_cell_length_c 5.9783
_cell_angle_alpha 90.00
_cell_angle_beta 118.23
_cell_angle_gamma 90.00
_symmetry_space_group_name_H-M 'C 1 2/m 1'
_symmetry_Int_Tables_number 12
_symmetry_space_group_name_Hall '-C 2y'
loop_
_atom_site_label
_atom_site_type_symbol
_atom_site_fract_x
_atom_site_fract_y
_atom_site_fract_z
K1 K 0.0000 0.0000 0.0000
In1 In 0.1812 0.0000 0.6732
P1 P 0.0000 0.5000 0.5000


5.
# LaNi2Hg | Alexandria | PBE-GGA | optimized geometry
# Uncorrected energy   -4.228 eV per atom
# D(E_F)   0.6338 states/eV/atom
# Calculated formation energy   -2.9 kJ per mole of atoms
# V   19.09 A^3/atom
data_LaNi2Hg
_chemical_formula_sum 'La1 Ni2 Hg1'
_cell_length_a 3.4395
_cell_length_b 3.4566
_cell_length_c 6.4213
_cell_angle_alpha 90.00
_cell_angle_beta 90.00
_cell_angle_gamma 90.00
_symmetry_space_group_name_H-M 'P m m m'
_symmetry_Int_Tables_number 47
_symmetry_space_group_name_Hall '-P 2 2'
loop_
_atom_site_label
_atom_site_type_symbol
_atom_site_fract_x
_atom_site_fract_y
_atom_site_fract_z
La1 La 0.0000 0.0000 0.0000
Ni1 Ni 0.5000 0.5000 0.2960
Hg1 Hg 0.0000 0.0000 0.5000


6.
# Rb2Tl6Cd2In | Alexandria | PBE-GGA | optimized geometry
# Uncorrected energy   -1.819 eV per atom
# D(E_F)   0.7474 states/eV/atom
# Calculated formation energy   6.1 kJ per mole of atoms
# V   39.12 A^3/atom
data_Rb2Tl6Cd2In
_chemical_formula_sum 'Rb6 Tl18 Cd6 In3'
_cell_length_a 8.0704
_cell_length_b 8.0704
_cell_length_c 22.8871
_cell_angle_alpha 90.00
_cell_angle_beta 90.00
_cell_angle_gamma 120.00
_symmetry_space_group_name_H-M 'R -3 m'
_symmetry_Int_Tables_number 166
_symmetry_space_group_name_Hall '-R 3 2"'
loop_
_atom_site_label
_atom_site_type_symbol
_atom_site_fract_x
_atom_site_fract_y
_atom_site_fract_z
Rb1 Rb 0.0000 0.0000 0.2313
Tl1 Tl 0.0629 0.5315 0.2907
Cd1 Cd 0.0000 0.0000 0.0817
In1 In 0.0000 0.0000 0.5000


7.
# TmTiOsRh | Alexandria | PBE-GGA | optimized geometry
# Uncorrected energy   -8.318 eV per atom
# D(E_F)   0.3481 states/eV/atom
# Calculated formation energy   -56.0 kJ per mole of atoms
# V   16.91 A^3/atom
data_TmTiOsRh
_chemical_formula_sum 'Tm4 Ti4 Os4 Rh4'
_cell_length_a 6.4676
_cell_length_b 6.4676
_cell_length_c 6.4676
_cell_angle_alpha 90.00
_cell_angle_beta 90.00
_cell_angle_gamma 90.00
_symmetry_space_group_name_H-M 'F -4 3 m'
_symmetry_Int_Tables_number 216
_symmetry_space_group_name_Hall 'F -4 2 3'
loop_
_atom_site_label
_atom_site_type_symbol
_atom_site_fract_x
_atom_site_fract_y
_atom_site_fract_z
Tm1 Tm 0.0000 0.0000 0.0000
Ti1 Ti 0.0000 0.0000 0.5000
Os1 Os 0.2500 0.2500 0.2500
Rh1 Rh 0.2500 0.2500 0.7500


8.
# Er5CuRh2 | Alexandria | PBE-GGA | optimized geometry
# Uncorrected energy   -5.767 eV per atom
# D(E_F)   0.9180 states/eV/atom
# Calculated formation energy   -54.6 kJ per mole of atoms
# V   23.50 A^3/atom
data_Er5CuRh2
_chemical_formula_sum 'Er20 Cu4 Rh8'
_cell_length_a 7.5672
_cell_length_b 7.5672
_cell_length_c 13.1306
_cell_angle_alpha 90.00
_cell_angle_beta 90.00
_cell_angle_gamma 90.00
_symmetry_space_group_name_H-M 'I 4/m c m'
_symmetry_Int_Tables_number 140
_symmetry_space_group_name_Hall '-I 4 2c'
loop_
_atom_site_label
_atom_site_type_symbol
_atom_site_fract_x
_atom_site_fract_y
_atom_site_fract_z
Er1 Er 0.0000 0.0000 0.0000
Er2 Er 0.1620 0.3380 0.1400
Cu1 Cu 0.0000 0.0000 0.2500
Rh1 Rh 0.1387 0.3613 0.5000


9.
# BiRuO4F | Alexandria | PBE-GGA | optimized geometry
# Uncorrected energy   -6.137 eV per atom
# Formation energy without anion corrections   -1.157 eV per atom
# D(E_F)   0.4952 states/eV/atom
# V   17.97 A^3/atom
data_BiRuO4F
_chemical_formula_sum 'Bi4 Ru4 O16 F4'
_cell_length_a 9.8223
_cell_length_b 7.2784
_cell_length_c 7.2542
_cell_angle_alpha 90.00
_cell_angle_beta 104.06
_cell_angle_gamma 90.00
_symmetry_space_group_name_H-M 'C 1 2/m 1'
_symmetry_Int_Tables_number 12
_symmetry_space_group_name_Hall '-C 2y'
loop_
_atom_site_label
_atom_site_type_symbol
_atom_site_fract_x
_atom_site_fract_y
_atom_site_fract_z
Bi1 Bi 0.2025 0.0000 0.0842
Ru1 Ru 0.1466 0.5000 0.2936
O1 O 0.0344 0.5000 0.7384
O2 O 0.1994 0.3295 0.1325
O3 O 0.2373 0.0000 0.4867
F1 F 0.0231 0.0000 0.8333


10.
# Th2GeS | Alexandria | PBE-GGA | optimized geometry
# Uncorrected energy   -7.221 eV per atom
# Formation energy without anion corrections   -1.325 eV per atom
# D(E_F)   0.5963 states/eV/atom
# E above lowest polymorph   2 meV/atom
# V   25.90 A^3/atom
data_Th2GeS
_chemical_formula_sum 'Th6 Ge3 S3'
_cell_length_a 4.2259
_cell_length_b 4.2259
_cell_length_c 20.0945
_cell_angle_alpha 90.00
_cell_angle_beta 90.00
_cell_angle_gamma 120.00
_symmetry_space_group_name_H-M 'R -3 m'
_symmetry_Int_Tables_number 166
_symmetry_space_group_name_Hall '-R 3 2"'
loop_
_atom_site_label
_atom_site_type_symbol
_atom_site_fract_x
_atom_site_fract_y
_atom_site_fract_z
Th1 Th 0.0000 0.0000 0.2474
Ge1 Ge 0.0000 0.0000 0.0000
S1 S 0.0000 0.0000 0.5000


11.
# Sm3Zn7Pd4 | Alexandria | PBE-GGA | optimized geometry
# Uncorrected energy   -3.716 eV per atom
# D(E_F)   0.5242 states/eV/atom
# Calculated formation energy   -56.4 kJ per mole of atoms
# V   18.70 A^3/atom
data_Sm3Zn7Pd4
_chemical_formula_sum 'Sm6 Zn14 Pd8'
_cell_length_a 15.4707
_cell_length_b 4.3934
_cell_length_c 9.3326
_cell_angle_alpha 90.00
_cell_angle_beta 124.36
_cell_angle_gamma 90.00
_symmetry_space_group_name_H-M 'C 1 2/m 1'
_symmetry_Int_Tables_number 12
_symmetry_space_group_name_Hall '-C 2y'
loop_
_atom_site_label
_atom_site_type_symbol
_atom_site_fract_x
_atom_site_fract_y
_atom_site_fract_z
Sm1 Sm 0.0000 0.0000 0.0000
Sm2 Sm 0.1987 0.5000 0.7033
Zn1 Zn 0.0000 0.0000 0.5000
Zn2 Zn 0.0030 0.5000 0.3017
Zn3 Zn 0.1374 0.0000 0.4157
Zn4 Zn 0.1732 0.5000 0.0204
Pd1 Pd 0.1179 0.0000 0.8352
Pd2 Pd 0.1661 0.5000 0.2929